Here is an optimized crystal structure of BeH3Ru from the Alexandria database. Energies are from GGA-PBE.

The structure in POSCAR format:
```
BeH3Ru
1.0
3.1159 0.0000 0.0000
0.0000 3.1159 0.0000
0.0000 0.0000 3.1159
Be H Ru
1 3 1
Cartesian
0.0000 0.0000 0.0000
0.0000 0.0000 1.5580
0.0000 1.5580 0.0000
1.5580 0.0000 0.0000
1.5580 1.5580 1.5580
```

Calculated values
- offset from the most stable computed form (meV per atom) = 190
- density (g cm⁻³) = 6.21
- density of states at the Fermi level (states/eV per cell) = 1.2



Here is an optimized crystal structure of BeHRu from the Alexandria database. Energies are from GGA-PBE.

The structure in POSCAR format:
```
BeHRu
1.0
-1.3676 1.3676 3.7277
1.3676 -1.3676 3.7277
1.3676 1.3676 -3.7277
Be H Ru
1 1 1
Cartesian
0.0000 0.0000 0.0000
0.0000 0.0000 1.7254
0.0000 0.0000 5.1473
```

Calculated values
- offset from the most stable computed form (meV per atom) = 314
- density (g cm⁻³) = 6.61
- density of states at the Fermi level (states/eV per cell) = 2.2



Here is an optimized crystal structure of BeHRu from the Alexandria database. Energies are from GGA-PBE.

The structure in POSCAR format:
```
BeHRu
1.0
1.6680 0.9630 5.2661
-1.6680 0.9630 5.2661
0.0000 -1.9261 5.2661
Be H Ru
2 2 2
Cartesian
0.0000 0.0000 2.7010
0.0000 0.0000 13.0974
0.0000 0.0000 4.5955
0.0000 0.0000 11.2029
0.0000 0.0000 6.4647
0.0000 0.0000 9.3338
```

Calculated values
- offset from the most stable computed form (meV per atom) = 106
- density (g cm⁻³) = 7.27
- density of states at the Fermi level (states/eV per cell) = 3.0



Here is an optimized crystal structure of BeHRu3 from the Alexandria database. Energies are from GGA-PBE.

The structure in POSCAR format:
```
BeHRu3
1.0
3.8107 0.0000 0.0000
0.0000 3.8107 0.0000
0.0000 0.0000 3.8107
Be H Ru
1 1 3
Cartesian
0.0000 0.0000 0.0000
1.9054 1.9054 1.9054
0.0000 1.9054 1.9054
1.9054 0.0000 1.9054
1.9054 1.9054 0.0000
```

Calculated values
- offset from the most stable computed form (meV per atom) = 0
- density (g cm⁻³) = 9.40
- density of states at the Fermi level (states/eV per cell) = 5.3



Here is an optimized crystal structure of BeH3Ru from the Alexandria database. Energies are from GGA-PBE.

The structure in POSCAR format:
```
BeH3Ru
1.0
3.3252 0.0000 0.0000
0.0000 3.3252 0.0000
0.0000 0.0000 3.3252
Be H Ru
1 3 1
Cartesian
0.0000 0.0000 0.0000
0.0000 1.6626 1.6626
1.6626 0.0000 1.6626
1.6626 1.6626 0.0000
1.6626 1.6626 1.6626
```

Calculated values
- offset from the most stable computed form (meV per atom) = 0
- density (g cm⁻³) = 5.11
- density of states at the Fermi level (states/eV per cell) = 1.3



Here is an optimized crystal structure of BeHRu from the Alexandria database. Energies are from GGA-PBE.

The structure in POSCAR format:
```
BeHRu
1.0
3.0185 0.0000 0.0000
-1.5093 2.6141 0.0000
0.0000 0.0000 3.1764
Be H Ru
1 1 1
Cartesian
0.0000 0.0000 0.0000
1.5093 0.8714 1.0283
0.0000 1.7427 1.5807
```

Calculated values
- offset from the most stable computed form (meV per atom) = 0
- density (g cm⁻³) = 7.36
- density of states at the Fermi level (states/eV per cell) = 1.4



Here is an optimized crystal structure of Be2HRu2 from the Alexandria database. Energies are from GGA-PBE.

The structure in POSCAR format:
```
Be2HRu2
1.0
5.5271 0.0000 0.0000
0.0000 5.5271 0.0000
0.0000 0.0000 3.2578
Be H Ru
4 2 4
Cartesian
0.7276 2.0360 0.0000
2.0360 4.7995 0.0000
3.4911 0.7276 0.0000
4.7995 3.4911 0.0000
0.0000 0.0000 1.6289
2.7635 2.7635 1.6289
0.9688 3.7323 1.6289
1.7948 0.9688 1.6289
3.7323 4.5583 1.6289
4.5583 1.7948 1.6289
```

Calculated values
- density (g cm⁻³) = 7.38
- raw total energy (eV per cell) = -58.8
- density of states at the Fermi level (states/eV per cell) = 6.8



Here is an optimized crystal structure of TaBeHRu2 from the Alexandria database. Energies are from GGA-PBE.

The structure in POSCAR format:
```
TaBeHRu2
1.0
4.1526 0.0000 0.0000
0.0000 4.1526 0.0000
0.0000 0.0000 3.2971
Ta Be H Ru
1 1 1 2
Cartesian
0.0000 0.0000 0.0000
2.0763 2.0763 0.0000
2.0763 2.0763 1.6486
0.0000 2.0763 1.6486
2.0763 0.0000 1.6486
```

Calculated values
- density (g cm⁻³) = 11.48
- raw total energy (eV per cell) = -38.6
- density of states at the Fermi level (states/eV per cell) = 0.5